Entry 1:
MnMoHW2 after structural relaxation, computed with GGA-PBE.

Structure (CIF):
```
data_MnMoHW2
_symmetry_space_group_name_H-M 'P 4/m m m'
_symmetry_Int_Tables_number 123
_symmetry_space_group_name_Hall '-P 4 2'
_cell_length_a 4.3155
_cell_length_b 4.3155
_cell_length_c 3.3445
_cell_angle_alpha 90.00
_cell_angle_beta 90.00
_cell_angle_gamma 90.00
loop_
_atom_site_label
_atom_site_fract_x
_atom_site_fract_y
_atom_site_fract_z
Mn1 0.0000 0.0000 0.0000
Mo1 0.5000 0.5000 0.0000
H1 0.0000 0.0000 0.5000
W1 0.0000 0.5000 0.5000
```

## Properties
Density of states at the Fermi level: 4.431 states/eV/cell

***

Entry 2:
AlTl3Te3 after structural relaxation, computed with GGA-PBE.

Structure (CIF):
```
data_AlTl3Te3
_symmetry_space_group_name_H-M 'C 1 2/m 1'
_symmetry_Int_Tables_number 12
_cell_length_a 9.4198
_cell_length_b 13.9421
_cell_length_c 8.2947
_cell_angle_alpha 90.00
_cell_angle_beta 102.00
_cell_angle_gamma 90.00
loop_
_symmetry_equiv_pos_as_xyz
'x,y,z'
'-x,-y,-z'
'-x,y,-z'
'x,-y,z'
'x+1/2,y+1/2,z'
'-x+1/2,-y+1/2,-z'
'-x+1/2,y+1/2,-z'
'x+1/2,-y+1/2,z'
loop_
_atom_site_label
_atom_site_fract_x
_atom_site_fract_y
_atom_site_fract_z
Al1 0.1688 0.0000 0.1526
Tl1 0.0000 0.1698 0.5000
Tl2 0.0000 0.2426 0.0000
Tl3 0.1038 0.5000 0.3618
Te1 0.1111 0.0000 0.8230
Te2 0.1997 0.3461 0.7142
```

## Properties
Relative energy among the computed polymorphs: 23 meV per atom

***

Entry 3:
HgS2I2 after structural relaxation, computed with GGA-PBE.

Structure (CIF):
```
data_HgS2I2
_symmetry_space_group_name_H-M 'I 4/m m m'
_symmetry_Int_Tables_number 139
_symmetry_space_group_name_Hall '-I 4 2'
_cell_length_a 5.9928
_cell_length_b 5.9928
_cell_length_c 8.8994
_cell_angle_alpha 90.00
_cell_angle_beta 90.00
_cell_angle_gamma 90.00
loop_
_atom_site_label
_atom_site_fract_x
_atom_site_fract_y
_atom_site_fract_z
Hg1 0.0000 0.0000 0.0000
S1 0.0000 0.0000 0.3951
I1 0.0000 0.5000 0.2500
```

## Properties
Relative energy among the computed polymorphs: 190 meV per atom
Density of states at the Fermi level: 2.498 states/eV/cell

***

Entry 4:
CoNi4Pt7 after structural relaxation, computed with GGA-PBE.

Structure (CIF):
```
data_CoNi4Pt7
_symmetry_space_group_name_H-M 'P -1'
_symmetry_Int_Tables_number 2
_cell_length_a 4.7069
_cell_length_b 5.3878
_cell_length_c 7.1288
_cell_angle_alpha 78.16
_cell_angle_beta 71.43
_cell_angle_gamma 89.38
loop_
_symmetry_equiv_pos_as_xyz
'x,y,z'
'-x,-y,-z'
loop_
_atom_site_label
_atom_site_fract_x
_atom_site_fract_y
_atom_site_fract_z
Co1 0.0000 0.0000 0.0000
Ni1 0.1688 0.4163 0.3355
Ni2 0.3342 0.8344 0.6670
Pt1 0.0000 0.5000 0.0000
Pt2 0.1640 0.9183 0.3385
Pt3 0.3256 0.3334 0.6632
Pt4 0.4941 0.7518 0.9976
```

## Properties
Formation energy from the elements: -67 meV/atom
Density of states at the Fermi level: 17.250 states/eV/cell

***

Entry 5:
Li6Cu12Ni after structural relaxation, computed with GGA-PBE.

Structure (CIF):
```
data_Li6Cu12Ni
_symmetry_space_group_name_H-M 'R -3 m'
_symmetry_Int_Tables_number 166
_symmetry_space_group_name_Hall '-R 3 2"'
_cell_length_a 9.7811
_cell_length_b 9.7811
_cell_length_c 8.8754
_cell_angle_alpha 90.00
_cell_angle_beta 90.00
_cell_angle_gamma 120.00
loop_
_atom_site_label
_atom_site_fract_x
_atom_site_fract_y
_atom_site_fract_z
Li1 0.0879 0.1758 0.2534
Cu1 0.0000 0.2578 0.5000
Cu2 0.0518 0.5259 0.6260
Ni1 0.0000 0.0000 0.5000
```

## Properties
Formation energy from the elements: 8 meV/atom
Density of states at the Fermi level: 16.300 states/eV/cell

***

Entry 6:
SmSc2Zn2In2 after structural relaxation, computed with GGA-PBE.

Structure (CIF):
```
data_SmSc2Zn2In2
_symmetry_space_group_name_H-M 'R -3 m'
_symmetry_Int_Tables_number 166
_symmetry_space_group_name_Hall '-R 3 2"'
_cell_length_a 4.6561
_cell_length_b 4.6561
_cell_length_c 25.6973
_cell_angle_alpha 90.00
_cell_angle_beta 90.00
_cell_angle_gamma 120.00
loop_
_atom_site_label
_atom_site_fract_x
_atom_site_fract_y
_atom_site_fract_z
Sm1 0.0000 0.0000 0.0000
Sc1 0.0000 0.0000 0.1361
Zn1 0.0000 0.0000 0.4400
In1 0.0000 0.0000 0.2596
```

## Properties
Formation energy from the elements: -278 meV/atom
Density of states at the Fermi level: 15.498 states/eV/cell

***

Entry 7:
LiTe4Br after structural relaxation, computed with GGA-PBE.

Structure (CIF):
```
data_LiTe4Br
_symmetry_space_group_name_H-M 'F -4 3 m'
_symmetry_Int_Tables_number 216
_symmetry_space_group_name_Hall 'F -4 2 3'
_cell_length_a 9.0566
_cell_length_b 9.0566
_cell_length_c 9.0566
_cell_angle_alpha 90.00
_cell_angle_beta 90.00
_cell_angle_gamma 90.00
loop_
_atom_site_label
_atom_site_fract_x
_atom_site_fract_y
_atom_site_fract_z
Li1 0.0000 0.0000 0.0000
Te1 0.1243 0.1243 0.6243
Br1 0.2500 0.2500 0.2500
```

## Properties
Density of states at the Fermi level: 41.390 states/eV/cell

***

Entry 8:
LiLaTc2O after structural relaxation, computed with GGA-PBE.

Structure (CIF):
```
data_LiLaTc2O
_symmetry_space_group_name_H-M 'P 4/m m m'
_symmetry_Int_Tables_number 123
_symmetry_space_group_name_Hall '-P 4 2'
_cell_length_a 4.7010
_cell_length_b 4.7010
_cell_length_c 3.5910
_cell_angle_alpha 90.00
_cell_angle_beta 90.00
_cell_angle_gamma 90.00
loop_
_atom_site_label
_atom_site_fract_x
_atom_site_fract_y
_atom_site_fract_z
Li1 0.0000 0.0000 0.0000
La1 0.5000 0.5000 0.5000
Tc1 0.0000 0.5000 0.0000
O1 0.0000 0.0000 0.5000
```

## Properties
Density of states at the Fermi level: 5.667 states/eV/cell

***

Entry 9:
LiTe2Cl8 after structural relaxation, computed with GGA-PBE.

Structure (CIF):
```
data_LiTe2Cl8
_symmetry_space_group_name_H-M 'P -3'
_symmetry_Int_Tables_number 147
_cell_length_a 8.2384
_cell_length_b 8.2384
_cell_length_c 5.6023
_cell_angle_alpha 90.00
_cell_angle_beta 90.00
_cell_angle_gamma 120.00
loop_
_symmetry_equiv_pos_as_xyz
'x,y,z'
'-x,-y,-z'
'-y,x-y,z'
'y,-x+y,-z'
'-x+y,-x,z'
'x-y,x,-z'
loop_
_atom_site_label
_atom_site_fract_x
_atom_site_fract_y
_atom_site_fract_z
Li1 0.0000 0.0000 0.0000
Te1 0.3333 0.6667 0.2342
Cl1 0.1591 0.3195 0.2522
Cl2 0.3333 0.6667 0.7559
```

## Properties
Density of states at the Fermi level: 5.169 states/eV/cell

***

Entry 10:
Ho2Si2IrRh5 after structural relaxation, computed with GGA-PBE.

Structure (CIF):
```
data_Ho2Si2IrRh5
_symmetry_space_group_name_H-M 'P 4/m b m'
_symmetry_Int_Tables_number 127
_symmetry_space_group_name_Hall '-P 4 2ab'
_cell_length_a 9.5424
_cell_length_b 9.5424
_cell_length_c 3.5668
_cell_angle_alpha 90.00
_cell_angle_beta 90.00
_cell_angle_gamma 90.00
loop_
_atom_site_label
_atom_site_fract_x
_atom_site_fract_y
_atom_site_fract_z
Ho1 0.1768 0.3232 0.0000
Si1 0.1224 0.6224 0.0000
Ir1 0.0000 0.0000 0.0000
Rh1 0.0000 0.5000 0.5000
Rh2 0.0693 0.7871 0.5000
```

## Properties
Density of states at the Fermi level: 20.220 states/eV/cell

***

Entry 11:
Zr2SiHg after structural relaxation, computed with GGA-PBE.

Structure (CIF):
```
data_Zr2SiHg
_symmetry_space_group_name_H-M 'I m m 2'
_symmetry_Int_Tables_number 44
_cell_length_a 3.9801
_cell_length_b 4.1938
_cell_length_c 9.6299
_cell_angle_alpha 90.00
_cell_angle_beta 90.00
_cell_angle_gamma 90.00
loop_
_symmetry_equiv_pos_as_xyz
'x,y,z'
'-x,-y,z'
'-x,y,z'
'x,-y,z'
'x+1/2,y+1/2,z+1/2'
'-x+1/2,-y+1/2,z+1/2'
'-x+1/2,y+1/2,z+1/2'
'x+1/2,-y+1/2,z+1/2'
loop_
_atom_site_label
_atom_site_fract_x
_atom_site_fract_y
_atom_site_fract_z
Zr1 0.0000 0.0000 0.0000
Zr2 0.0000 0.5000 0.2434
Si1 0.0000 0.5000 0.7539
Hg1 0.0000 0.0000 0.4874
```

## Properties
Density of states at the Fermi level: 3.789 states/eV/cell

***

Entry 12:
CaTbTm2 after structural relaxation, computed with GGA-PBE.

Structure (CIF):
```
data_CaTbTm2
_symmetry_space_group_name_H-M 'P 4/m m m'
_symmetry_Int_Tables_number 123
_symmetry_space_group_name_Hall '-P 4 2'
_cell_length_a 3.5897
_cell_length_b 3.5897
_cell_length_c 10.2996
_cell_angle_alpha 90.00
_cell_angle_beta 90.00
_cell_angle_gamma 90.00
loop_
_atom_site_label
_atom_site_fract_x
_atom_site_fract_y
_atom_site_fract_z
Ca1 0.0000 0.0000 0.0000
Tb1 0.0000 0.0000 0.5000
Tm1 0.5000 0.5000 0.2703
```

## Properties
Relative energy among the computed polymorphs: 11 meV per atom
Formation energy from the elements: 84 meV/atom
Density of states at the Fermi level: 5.616 states/eV/cell

***

no.,final energy (eV/cell)
1,-48.5
2,-91.3
3,-21.2
4,-73.3
5,-198.8
6,-82.1
7,-64.2
8,-29.2
9,-29.7
10,-146.0
11,-47.8
12,-15.2